# PmCr2RuO8 | the Alexandria database | GGA+U | optimized geometry
# E_tot	-7.386	eV per atom
# total moment	3.75	μB/cell
data_PmCr2RuO8
_chemical_formula_sum 'Pm1 Cr2 Ru1 O8'
_cell_length_a 4.724
_cell_length_b 6.393
_cell_length_c 4.744
_cell_angle_alpha 90.00
_cell_angle_beta 91.70
_cell_angle_gamma 90.00
_space_group_name_H-M_alt 'P 1 2/m 1'
_space_group_IT_number 10
loop_
_space_group_symop_operation_xyz
'x,y,z'
'-x,-y,-z'
'-x,y,-z'
'x,-y,z'
loop_
_atom_site_label
_atom_site_fract_x
_atom_site_fract_y
_atom_site_fract_z
Pm1 0.000 0.000 0.000
Cr1 0.500 0.249 0.500
Ru1 0.000 0.500 0.000
O1 0.211 0.290 0.206
O2 0.291 0.500 0.705
O3 0.326 0.000 0.666